LaAs5 after structural relaxation. Source: Alexandria via LeMat-Bulk, functional PBE.

Computed properties:
Its space group is No. 189.

Geometry as POSCAR:
```
LaAs5
1.0
5.831 0.000 0.000
-2.916 5.050 0.000
0.000 0.000 4.450
La As
1 5
Direct
0.000 0.000 0.000
0.000 0.594 0.500
0.333 0.667 0.000
0.406 0.406 0.500
0.594 0.000 0.500
0.667 0.333 0.000
```

---

La3As after structural relaxation. Source: Alexandria via LeMat-Bulk, functional PBE.

Computed properties:
The distance to the lowest polymorph of the same formula comes out at 0.516 eV/f.u. Its space group is No. 194.

Geometry as POSCAR:
```
La3As
1.0
7.083 0.000 0.000
-3.541 6.134 0.000
0.000 0.000 5.277
La As
6 2
Direct
0.180 0.359 0.250
0.180 0.820 0.250
0.359 0.180 0.750
0.641 0.820 0.250
0.820 0.180 0.750
0.820 0.641 0.750
0.333 0.667 0.750
0.667 0.333 0.250
```

---

La2As after structural relaxation. Source: Alexandria via LeMat-Bulk, functional PBE.

Computed properties:
Its space group is No. 189.

Geometry as POSCAR:
```
La2As
1.0
8.360 0.000 0.000
-4.180 7.240 0.000
0.000 0.000 4.295
La As
6 3
Direct
0.000 0.262 0.000
0.000 0.577 0.500
0.262 0.000 0.000
0.423 0.423 0.500
0.577 0.000 0.500
0.738 0.738 0.000
0.000 0.000 0.500
0.333 0.667 0.000
0.667 0.333 0.000
```

---

LaAs after structural relaxation. Source: Alexandria via LeMat-Bulk, functional PBE.

Computed properties:
Its space group is No. 216.

Geometry as POSCAR:
```
LaAs
1.0
0.000 3.401 3.401
3.401 0.000 3.401
3.401 3.401 0.000
La As
1 1
Direct
0.000 0.000 0.000
0.250 0.250 0.250
```

---

La2As after structural relaxation. Source: Alexandria via LeMat-Bulk, functional PBE.

Computed properties:
Its space group is No. 225.

Geometry as POSCAR:
```
La2As
1.0
0.000 3.601 3.601
3.601 0.000 3.601
3.601 3.601 0.000
La As
2 1
Direct
0.250 0.250 0.250
0.750 0.750 0.750
0.000 0.000 0.000
```

---

La3As after structural relaxation. Source: Alexandria via LeMat-Bulk, functional PBE.

Computed properties:
The distance to the lowest polymorph of the same formula comes out at 0.391 eV/f.u. Its space group is No. 187.

Geometry as POSCAR:
```
La3As
1.0
4.094 0.000 0.000
-2.047 3.546 0.000
0.000 0.000 9.719
La As
3 1
Direct
0.000 0.000 0.000
0.667 0.333 0.306
0.667 0.333 0.694
0.000 0.000 0.500
```

---

La3As after structural relaxation. Source: Alexandria via LeMat-Bulk, functional PBE.

Computed properties:
The distance to the lowest polymorph of the same formula comes out at 0.051 eV/f.u. Its space group is No. 166.

Geometry as POSCAR:
```
La3As
1.0
2.034 1.175 9.838
-2.034 1.175 9.838
0.000 -2.349 9.838
La As
3 1
Direct
0.000 0.000 0.000
0.229 0.229 0.229
0.771 0.771 0.771
0.500 0.500 0.500
```

---

LaAs after structural relaxation. Source: Alexandria via LeMat-Bulk, functional PBE.

Computed properties:
Its space group is No. 140.

Geometry as POSCAR:
```
LaAs
1.0
-5.161 5.161 3.058
5.161 -5.161 3.058
5.161 5.161 -3.058
La As
4 4
Direct
0.145 0.645 0.790
0.355 0.145 0.500
0.645 0.855 0.500
0.855 0.355 0.210
0.147 0.353 0.500
0.353 0.853 0.205
0.647 0.147 0.795
0.853 0.647 0.500
```

---

Summary of total DFT energy (no corrections) in eV/atom
-4.908, -5.379, -5.802, -5.877, -5.742, -5.410, -5.495, -6.091
(order as listed above)
Summary of energy of formation in eV per atom
-0.21, -0.52, -0.97, -1.09, -0.91, -0.55, -0.64, -1.30
(order as listed above)